Entry 1:
The following is a PBE+U calculation of crystalline PaTl2MoO6 at its relaxed geometry, from Alexandria.

Results
calculated density	9013	kg/m³
size of the total moment	2.00	μB/cell
energy	-7.1439	eV per atom

Cell and atoms, written as CIF:
```
data_PaTl2MoO6
_symmetry_space_group_name_H-M 'I 4/m m m'
_symmetry_Int_Tables_number 139
_symmetry_space_group_name_Hall '-I 4 2'
_cell_length_a 5.990
_cell_length_b 5.990
_cell_length_c 8.541
_cell_angle_alpha 90.00
_cell_angle_beta 90.00
_cell_angle_gamma 90.00
loop_
_atom_site_label
_atom_site_type_symbol
_atom_site_fract_x
_atom_site_fract_y
_atom_site_fract_z
Pa1 Pa 0.000 0.000 0.000
Tl1 Tl 0.000 0.500 0.250
Mo1 Mo 0.000 0.000 0.500
O1 O 0.000 0.000 0.275
O2 O 0.246 0.246 0.500
```

=====

Entry 2:
The following is a PBE+U calculation of crystalline PaTlMoO6 at its relaxed geometry, from Alexandria.

Results
calculated density	6325	kg/m³
size of the total moment	0.00	μB/cell
energy	-7.6142	eV per atom

Cell and atoms, written as CIF:
```
data_PaTlMoO6
_symmetry_space_group_name_H-M 'I m m a'
_symmetry_Int_Tables_number 74
_symmetry_space_group_name_Hall '-I 2b 2'
_cell_length_a 7.469
_cell_length_b 7.931
_cell_length_c 11.121
_cell_angle_alpha 90.00
_cell_angle_beta 90.00
_cell_angle_gamma 90.00
loop_
_atom_site_label
_atom_site_type_symbol
_atom_site_fract_x
_atom_site_fract_y
_atom_site_fract_z
Pa1 Pa 0.000 0.000 0.000
Tl1 Tl 0.000 0.250 0.324
Mo1 Mo 0.250 0.250 0.750
O1 O 0.000 0.250 0.083
O2 O 0.000 0.250 0.703
O3 O 0.198 0.076 0.867
```

=====

Entry 3:
The following is a PBE+U calculation of crystalline Tm2PaMoO8 at its relaxed geometry, from Alexandria.

Results
calculated density	7811	kg/m³
size of the total moment	2.00	μB/cell
energy	-8.5075	eV per atom

Cell and atoms, written as CIF:
```
data_Tm2PaMoO8
_symmetry_space_group_name_H-M 'C m m m'
_symmetry_Int_Tables_number 65
_symmetry_space_group_name_Hall '-C 2 2'
_cell_length_a 6.958
_cell_length_b 7.131
_cell_length_c 6.794
_cell_angle_alpha 90.00
_cell_angle_beta 90.00
_cell_angle_gamma 90.00
loop_
_atom_site_label
_atom_site_type_symbol
_atom_site_fract_x
_atom_site_fract_y
_atom_site_fract_z
Tm1 Tm 0.000 0.000 0.244
Pa1 Pa 0.000 0.500 0.500
Mo1 Mo 0.000 0.500 0.000
O1 O 0.000 0.314 0.235
O2 O 0.196 0.000 0.500
O3 O 0.222 0.000 0.000
```

=====

Entry 4:
The following is a PBE+U calculation of crystalline PaVMoO6 at its relaxed geometry, from Alexandria.

Results
calculated density	6937	kg/m³
size of the total moment	8.00	μB/cell
energy	-8.4177	eV per atom

Cell and atoms, written as CIF:
```
data_PaVMoO6
_symmetry_space_group_name_H-M 'P -3 1 c'
_symmetry_Int_Tables_number 163
_symmetry_space_group_name_Hall '-P 3 2c'
_cell_length_a 5.3709
_cell_length_b 5.3709
_cell_length_c 9.0825
_cell_angle_alpha 90.00
_cell_angle_beta 90.00
_cell_angle_gamma 120.00
loop_
_atom_site_label
_atom_site_type_symbol
_atom_site_fract_x
_atom_site_fract_y
_atom_site_fract_z
Pa1 Pa 0.3333 0.6667 0.2500
V1 V 0.3333 0.6667 0.7500
Mo1 Mo 0.0000 0.0000 0.0000
O1 O 0.0192 0.3345 0.6285
```

=====

Entry 5:
The following is a PBE+U calculation of crystalline Y2PaMoO8 at its relaxed geometry, from Alexandria.

Results
calculated density	6039	kg/m³
size of the total moment	1.00	μB/cell
energy	-8.7872	eV per atom

Cell and atoms, written as CIF:
```
data_Y2PaMoO8
_symmetry_space_group_name_H-M 'P 1 2/m 1'
_symmetry_Int_Tables_number 10
_symmetry_space_group_name_Hall '-P 2y'
_cell_length_a 5.039
_cell_length_b 6.854
_cell_length_c 5.039
_cell_angle_alpha 90.00
_cell_angle_beta 91.48
_cell_angle_gamma 90.00
loop_
_atom_site_label
_atom_site_type_symbol
_atom_site_fract_x
_atom_site_fract_y
_atom_site_fract_z
Y1 Y 0.000 0.244 0.000
Pa1 Pa 0.500 0.500 0.500
Mo1 Mo 0.500 0.000 0.500
O1 O 0.200 0.500 0.198
O2 O 0.227 0.000 0.225
O3 O 0.316 0.235 0.682
```

=====

Entry 6:
The following is a PBE+U calculation of crystalline PaZnMoO6 at its relaxed geometry, from Alexandria.

Results
calculated density	6928	kg/m³
size of the total moment	2.00	μB/cell
energy	-7.4503	eV per atom

Cell and atoms, written as CIF:
```
data_PaZnMoO6
_symmetry_space_group_name_H-M 'P -3 1 c'
_symmetry_Int_Tables_number 163
_symmetry_space_group_name_Hall '-P 3 2c'
_cell_length_a 5.5089
_cell_length_b 5.5089
_cell_length_c 8.9072
_cell_angle_alpha 90.00
_cell_angle_beta 90.00
_cell_angle_gamma 120.00
loop_
_atom_site_label
_atom_site_type_symbol
_atom_site_fract_x
_atom_site_fract_y
_atom_site_fract_z
Pa1 Pa 0.3333 0.6667 0.2500
Zn1 Zn 0.0000 0.0000 0.0000
Mo1 Mo 0.3333 0.6667 0.7500
O1 O 0.0244 0.3572 0.6304
```

=====

Entry 7:
The following is a PBE+U calculation of crystalline PaZn2MoO8 at its relaxed geometry, from Alexandria.

Results
calculated density	6493	kg/m³
size of the total moment	0.00	μB/cell
energy	-6.8139	eV per atom

Cell and atoms, written as CIF:
```
data_PaZn2MoO8
_symmetry_space_group_name_H-M 'C m m m'
_symmetry_Int_Tables_number 65
_symmetry_space_group_name_Hall '-C 2 2'
_cell_length_a 6.622
_cell_length_b 6.935
_cell_length_c 6.525
_cell_angle_alpha 90.00
_cell_angle_beta 90.00
_cell_angle_gamma 90.00
loop_
_atom_site_label
_atom_site_type_symbol
_atom_site_fract_x
_atom_site_fract_y
_atom_site_fract_z
Pa1 Pa 0.000 0.000 0.000
Zn1 Zn 0.000 0.500 0.263
Mo1 Mo 0.000 0.000 0.500
O1 O 0.000 0.187 0.275
O2 O 0.189 0.500 0.000
O3 O 0.210 0.500 0.500
```

=====

Entry 8:
The following is a PBE+U calculation of crystalline MoPbO6 at its relaxed geometry, from Alexandria.

Results
calculated density	4907	kg/m³
size of the total moment	8.08	μB/cell
energy	-5.7350	eV per atom

Cell and atoms, written as CIF:
```
data_MoPbO6
_symmetry_space_group_name_H-M 'F m -3 m'
_symmetry_Int_Tables_number 225
_symmetry_space_group_name_Hall '-F 4 2 3'
_cell_length_a 8.144
_cell_length_b 8.144
_cell_length_c 8.144
_cell_angle_alpha 90.00
_cell_angle_beta 90.00
_cell_angle_gamma 90.00
loop_
_atom_site_label
_atom_site_type_symbol
_atom_site_fract_x
_atom_site_fract_y
_atom_site_fract_z
Mo1 Mo 0.000 0.000 0.000
Pb1 Pb 0.000 0.000 0.500
O1 O 0.000 0.000 0.235
```

=====

Entry 9:
The following is a PBE+U calculation of crystalline MoPbO3 at its relaxed geometry, from Alexandria.

Results
calculated density	8681	kg/m³
size of the total moment	2.00	μB/cell
energy	-6.5051	eV per atom

Cell and atoms, written as CIF:
```
data_MoPbO3
_symmetry_space_group_name_H-M 'P m -3 m'
_symmetry_Int_Tables_number 221
_symmetry_space_group_name_Hall '-P 4 2 3'
_cell_length_a 4.065
_cell_length_b 4.065
_cell_length_c 4.065
_cell_angle_alpha 90.00
_cell_angle_beta 90.00
_cell_angle_gamma 90.00
loop_
_atom_site_label
_atom_site_type_symbol
_atom_site_fract_x
_atom_site_fract_y
_atom_site_fract_z
Mo1 Mo 0.000 0.000 0.000
Pb1 Pb 0.500 0.500 0.500
O1 O 0.000 0.000 0.500
```